Record 1
Crystalline Na2ZrPO6 at its relaxed geometry. Source: Alexandria, functional GGA-PBE.

**Fermi-level density of states**: 0.03 states/eV/atom
**Electronic total energy**: -6.608 eV/atom
**Formation energy without anion corrections**: -190.44 kJ/mol of atoms
**Magnetic moment**: 0.10 μB per atom

a = 5.2953 Å, b = 5.8478 Å, c = 5.8478 Å
α = 120.00°, β = 90.00°, γ = 90.00°
Last column: nearest neighbours and their distance in Å.
Positions (direct):
1 O 0.1948 0.8626 0.7252  1 P 1.73
2 O 0.8052 0.1374 0.8626  1 P 1.73
3 O 0.1948 0.2748 0.1374  1 P 1.73
4 Na 0.0256 0.3333 0.6667  3 O 2.30
5 O 0.8052 0.1374 0.2748  1 P 1.73
6 Zr 0.5000 0.0000 0.0000  6 O 2.13
7 P 0.0000 0.0000 0.0000  6 O 1.73
8 O 0.1948 0.8626 0.1374  1 P 1.73
9 O 0.8052 0.7252 0.8626  1 P 1.73
10 Na 0.9744 0.6667 0.3333  3 O 2.30


Record 2
Crystalline NaPaO3 at its relaxed geometry. Source: Alexandria, functional GGA-PBE.

**Fermi-level density of states**: 0.00 states/eV/atom
**Electronic total energy**: -8.173 eV/atom
**Formation energy without anion corrections**: -292.85 kJ/mol of atoms
**Magnetic moment**: 0.00 μB per atom

a = 4.3517 Å, b = 4.3517 Å, c = 4.3517 Å
α = 90.00°, β = 90.00°, γ = 90.00°
Last column: nearest neighbours and their distance in Å.
Positions (direct):
1 Pa 0.5000 0.5000 0.5000  6 O 2.18
2 O 0.5000 0.0000 0.5000  2 Pa 2.18
3 Na 0.0000 0.0000 0.0000  12 O 3.08
4 O 0.5000 0.5000 0.0000  2 Pa 2.18
5 O 0.0000 0.5000 0.5000  2 Pa 2.18


Record 3
Crystalline NaPaO2 at its relaxed geometry. Source: Alexandria, functional GGA-PBE.

**Fermi-level density of states**: 0.76 states/eV/atom
**Electronic total energy**: -7.175 eV/atom
**Energy above the lowest structure with this stoichiometry**: 411 meV per atom
**Formation energy without anion corrections**: -192.24 kJ/mol of atoms
**Magnetic moment**: 0.33 μB per atom

a = 3.0252 Å, b = 3.0252 Å, c = 6.2233 Å
α = 90.00°, β = 90.00°, γ = 90.00°
Last column: nearest neighbours and their distance in Å.
Positions (direct):
1 O 0.0000 0.0000 0.2126  4 Pa 2.52, 1 O 2.65, 4 Na 2.79
2 O 0.0000 0.0000 0.7874  4 Pa 2.52, 1 O 2.65, 4 Na 2.79
3 Na 0.5000 0.5000 0.5000  8 O 2.79, 4 Na 3.03, 2 Pa 3.11
4 Pa 0.5000 0.5000 0.0000  8 O 2.52


Record 4
Crystalline NaPaO2 at its relaxed geometry. Source: Alexandria, functional GGA-PBE.

**Fermi-level density of states**: 1.18 states/eV/atom
**Electronic total energy**: -7.587 eV/atom
**Energy above the lowest structure with this stoichiometry**: 0 meV per atom
**Formation energy without anion corrections**: -231.93 kJ/mol of atoms
**Magnetic moment**: 0.32 μB per atom

a = 3.7129 Å, b = 3.7129 Å, c = 7.0026 Å
α = 74.63°, β = 74.63°, γ = 60.00°
Last column: nearest neighbours and their distance in Å.
Positions (direct):
1 Pa 0.5000 0.5000 0.5000  6 O 2.31
2 Na 0.0000 0.0000 0.0000  2 O 2.48
3 O 0.1241 0.1241 0.6278  3 Pa 2.31, 1 Na 2.48
4 O 0.8759 0.8759 0.3722  3 Pa 2.31, 1 Na 2.48


Record 5
Crystalline Na2Pa2O7 at its relaxed geometry. Source: Alexandria, functional GGA-PBE.

**Fermi-level density of states**: 0.52 states/eV/atom
**Electronic total energy**: -7.715 eV/atom
**Formation energy without anion corrections**: -250.25 kJ/mol of atoms
**Magnetic moment**: 0.19 μB per atom

a = 5.4047 Å, b = 5.8407 Å, c = 5.4047 Å
α = 90.03°, β = 96.13°, γ = 89.97°
Last column: nearest neighbours and their distance in Å.
Positions (direct):
1 O 0.5002 0.7746 0.9999  2 Pa 2.24
2 O 0.0000 0.0000 0.0000  2 Pa 2.17
3 Pa 0.7297 0.0000 0.2703  7 O 2.17-2.24
4 O 0.0001 0.7746 0.4998  2 Pa 2.24
5 Na 0.2715 0.5000 0.2715  6 O 2.33-2.58
6 Pa 0.2703 0.0000 0.7297  7 O 2.17-2.24
7 O 0.4999 0.2183 0.5001  2 Pa 2.24, 2 Na 2.33
8 O 0.4998 0.2254 0.0001  2 Pa 2.24
9 O 0.9999 0.2254 0.5002  2 Pa 2.24
10 O 0.5001 0.7817 0.4999  2 Pa 2.24, 2 Na 2.33
11 Na 0.7285 0.5000 0.7285  6 O 2.33-2.58


Record 6
Crystalline NaPaO4 at its relaxed geometry. Source: Alexandria, functional GGA-PBE.

**Fermi-level density of states**: 0.52 states/eV/atom
**Electronic total energy**: -7.337 eV/atom
**Energy above the lowest structure with this stoichiometry**: 179 meV per atom
**Formation energy without anion corrections**: -215.03 kJ/mol of atoms
**Magnetic moment**: 0.00 μB per atom

a = 5.8251 Å, b = 5.8251 Å, c = 6.2374 Å
α = 117.84°, β = 117.84°, γ = 90.00°
Last column: nearest neighbours and their distance in Å.
Positions (direct):
1 Na 0.0000 0.0000 0.0000  8 O 2.46
2 O 0.6000 0.6250 0.7500  2 Pa 2.28, 2 O 2.35, 2 Na 2.46
3 O 0.1500 0.1250 0.7500  2 Pa 2.28, 2 O 2.35, 2 Na 2.46
4 O 0.1500 0.6250 0.7500  2 Pa 2.28, 2 O 2.35, 2 Na 2.46
5 O 0.8750 0.8500 0.2500  2 Pa 2.28, 2 O 2.35, 2 Na 2.46
6 Pa 0.5000 0.5000 0.0000  8 O 2.28
7 O 0.3750 0.8500 0.2500  2 Pa 2.28, 2 O 2.35, 2 Na 2.46
8 Pa 0.2500 0.7500 0.5000  8 O 2.28
9 O 0.8750 0.4000 0.2500  2 Pa 2.28, 2 O 2.35, 2 Na 2.46
10 Na 0.7500 0.2500 0.5000  8 O 2.46
11 O 0.3750 0.4000 0.2500  2 Pa 2.28, 2 O 2.35, 2 Na 2.46
12 O 0.6000 0.1250 0.7500  2 Pa 2.28, 2 O 2.35, 2 Na 2.46


Record 7
Crystalline Na2PaO4 at its relaxed geometry. Source: Alexandria, functional GGA-PBE.

**Fermi-level density of states**: 0.47 states/eV/atom
**Electronic total energy**: -7.027 eV/atom
**Formation energy without anion corrections**: -237.36 kJ/mol of atoms
**Magnetic moment**: 0.02 μB per atom

a = 3.5755 Å, b = 5.8316 Å, c = 9.9820 Å
α = 90.00°, β = 90.00°, γ = 90.00°
Last column: nearest neighbours and their distance in Å.
Positions (direct):
1 O 0.0000 0.1551 0.6791  1 Pa 2.00
2 Na 0.5000 0.5520 0.3154  5 O 2.36-2.55
3 O 0.5000 0.7100 0.0582  2 Pa 2.24, 1 Na 2.36
4 Na 0.5000 0.0520 0.1846  5 O 2.36-2.55
5 Pa 0.0000 0.5000 0.0000  2 O 2.00
6 O 0.0000 0.3449 0.1791  1 Pa 2.00
7 Pa 0.0000 0.0000 0.5000  2 O 2.00
8 O 0.0000 0.8449 0.3209  1 Pa 2.00
9 O 0.5000 0.7900 0.5582  2 Pa 2.24, 1 Na 2.36
10 Na 0.5000 0.4480 0.6846  5 O 2.36-2.55
11 Na 0.5000 0.9480 0.8154  5 O 2.36-2.55
12 O 0.0000 0.6551 0.8209  1 Pa 2.00
13 O 0.5000 0.2900 0.9418  2 Pa 2.24, 1 Na 2.36
14 O 0.5000 0.2100 0.4418  2 Pa 2.24, 1 Na 2.36


Record 8
Crystalline NaPa3O8 at its relaxed geometry. Source: Alexandria, functional GGA-PBE.

**Fermi-level density of states**: 0.00 states/eV/atom
**Electronic total energy**: -9.227 eV/atom
**Formation energy without anion corrections**: -331.66 kJ/mol of atoms
**Magnetic moment**: 0.00 μB per atom

a = 5.3783 Å, b = 5.3782 Å, c = 5.3782 Å
α = 90.00°, β = 90.00°, γ = 90.00°
Last column: nearest neighbours and their distance in Å.
Positions (direct):
1 Na 0.0000 0.0000 0.0000  8 O 2.42
2 O 0.2597 0.2597 0.7403  3 Pa 2.30, 1 Na 2.42
3 O 0.7403 0.2597 0.7403  3 Pa 2.30, 1 Na 2.42
4 O 0.2597 0.7403 0.7403  3 Pa 2.30, 1 Na 2.42
5 Pa 0.5000 0.5000 0.0000  8 O 2.30
6 Pa 0.5000 0.0000 0.5000  8 O 2.30
7 O 0.2597 0.2597 0.2597  3 Pa 2.30, 1 Na 2.42
8 O 0.7403 0.7403 0.7403  3 Pa 2.30, 1 Na 2.42
9 Pa 0.0000 0.5000 0.5000  8 O 2.30
10 O 0.2597 0.7403 0.2597  3 Pa 2.30, 1 Na 2.42
11 O 0.7403 0.2597 0.2597  3 Pa 2.30, 1 Na 2.42
12 O 0.7403 0.7403 0.2597  3 Pa 2.30, 1 Na 2.42


Record 9
Crystalline Na8PaO6 at its relaxed geometry. Source: Alexandria, functional GGA-PBE.

**Fermi-level density of states**: 0.11 states/eV/atom
**Electronic total energy**: -5.146 eV/atom
**Formation energy without anion corrections**: -176.18 kJ/mol of atoms
**Magnetic moment**: 0.03 μB per atom

a = 6.0650 Å, b = 6.0650 Å, c = 9.2702 Å
α = 70.91°, β = 70.91°, γ = 60.00°
Last column: nearest neighbours and their distance in Å.
Positions (direct):
1 Na 0.3332 0.3332 0.0003  6 O 2.50-2.51
2 Na 0.4551 0.0933 0.7228  3 O 2.30-2.32
3 Na 0.2711 0.5449 0.2772  3 O 2.30-2.32
4 Na 0.5449 0.9067 0.2772  3 O 2.30-2.32
5 Pa 0.0000 0.0000 0.0000  6 O 2.23
6 Na 0.0933 0.7289 0.7228  3 O 2.30-2.32
7 O 0.0501 0.3481 0.8479  1 Pa 2.23, 3 Na 2.30-2.32
8 Na 0.9067 0.2711 0.2772  3 O 2.30-2.32
9 O 0.2461 0.9499 0.1521  1 Pa 2.23, 3 Na 2.30-2.32
10 Na 0.7289 0.4551 0.7228  3 O 2.30-2.32
11 O 0.6519 0.2461 0.1521  1 Pa 2.23, 3 Na 2.30-2.32
12 O 0.9499 0.6519 0.1521  1 Pa 2.23, 3 Na 2.30-2.32
13 O 0.7539 0.0501 0.8479  1 Pa 2.23, 3 Na 2.30-2.32
14 Na 0.6668 0.6668 0.9997  6 O 2.50-2.51
15 O 0.3481 0.7539 0.8479  1 Pa 2.23, 3 Na 2.30-2.32


Record 10
Crystalline Na3PaO4 at its relaxed geometry. Source: Alexandria, functional GGA-PBE.

**Fermi-level density of states**: 0.00 states/eV/atom
**Electronic total energy**: -6.674 eV/atom
**Energy above the lowest structure with this stoichiometry**: 0 meV per atom
**Formation energy without anion corrections**: -242.52 kJ/mol of atoms
**Magnetic moment**: 0.00 μB per atom

a = 3.5573 Å, b = 5.8218 Å, c = 5.8218 Å
α = 107.44°, β = 90.00°, γ = 90.00°
Last column: nearest neighbours and their distance in Å.
Positions (direct):
1 Pa 0.5000 0.0000 0.0000  6 O 2.06-2.30
2 Na 0.5000 0.5000 0.5000  6 O 2.63-2.67
3 O 0.0000 0.7890 0.7890  2 Pa 2.30, 2 Na 2.36
4 Na 0.0000 0.5000 0.0000  6 O 2.36-2.49
5 Na 0.0000 0.0000 0.5000  6 O 2.36-2.49
6 O 0.5000 0.7801 0.2199  1 Pa 2.06
7 O 0.5000 0.2199 0.7801  1 Pa 2.06
8 O 0.0000 0.2110 0.2110  2 Pa 2.30, 2 Na 2.36


Record 11
Crystalline NaPa2O5 at its relaxed geometry. Source: Alexandria, functional GGA-PBE.

**Fermi-level density of states**: 0.62 states/eV/atom
**Electronic total energy**: -8.789 eV/atom
**Formation energy without anion corrections**: -304.10 kJ/mol of atoms
**Magnetic moment**: 0.07 μB per atom

a = 3.6716 Å, b = 5.7095 Å, c = 6.8149 Å
α = 114.77°, β = 105.63°, γ = 90.00°
Last column: nearest neighbours and their distance in Å.
Positions (direct):
1 Pa 0.8178 0.3178 0.6355  7 O 2.15-2.31
2 Na 0.0000 0.0000 0.0000  10 O 2.85-3.07
3 O 0.3325 0.0898 0.6649  3 Pa 2.30-2.31
4 O 0.0000 0.5000 0.0000  2 Pa 2.15
5 Pa 0.1822 0.6822 0.3645  7 O 2.15-2.31
6 O 0.3325 0.5751 0.6649  3 Pa 2.30-2.31
7 O 0.6676 0.4249 0.3351  3 Pa 2.30-2.31
8 O 0.6676 0.9102 0.3351  3 Pa 2.30-2.31